1.
Computed, not measured: a geometry-optimized CrSi4Hg structure at the PBE level of DFT.

a b c (Å): 5.185 5.185 5.185
angles (deg): 60.00 60.00 60.00
Site moments in Bohr magnetons follow the coordinates.
Atoms (fractional coordinates):
Si 0.376 0.376 0.873  -0.01
Hg 0.000 0.000 0.000  -0.03
Si 0.376 0.873 0.376  -0.01
Si 0.376 0.376 0.376  -0.01
Cr 0.750 0.750 0.750  3.45
Si 0.873 0.376 0.376  -0.01

Values from the calculation:
Total moment = 3.60 μB per cell
E_form (uncorrected) = 12.7 kcal/mol of atoms

***

2.
Computed, not measured: a geometry-optimized CrSiHg2 structure at the PBE level of DFT.

a b c (Å): 7.859 7.859 6.189
angles (deg): 50.59 50.59 90.00
Site moments in Bohr magnetons follow the coordinates.
Atoms (fractional coordinates):
Cr 0.750 0.250 0.500  3.64
Hg 0.875 0.841 0.750  -0.03
Hg 0.159 0.625 0.250  -0.02
Si 0.500 0.500 0.000  -0.08
Si 0.250 0.750 0.500  -0.08
Cr 0.000 0.000 0.000  3.64
Hg 0.591 0.125 0.250  -0.03
Hg 0.375 0.409 0.750  -0.03

Values from the calculation:
Total moment = 7.54 μB per cell
E_form (uncorrected) = 13.7 kcal/mol of atoms

***

3.
Computed, not measured: a geometry-optimized CrSiHg3 structure at the PBE level of DFT.

a b c (Å): 5.061 5.061 5.061
angles (deg): 90.00 90.00 90.00
Atoms (fractional coordinates):
Hg 0.500 0.000 0.000
Hg 0.000 0.500 0.000
Cr 0.000 0.000 0.000
Si 0.500 0.500 0.500
Hg 0.000 0.000 0.500

Values from the calculation:
Relative energy among the computed polymorphs = 439 meV per atom
Total moment = 0.00 μB per cell
E_form (uncorrected) = 26.9 kcal/mol of atoms

***

4.
Computed, not measured: a geometry-optimized CrSiHg2 structure at the PBE level of DFT.

a b c (Å): 3.136 3.379 7.248
angles (deg): 90.00 90.00 90.00
Site moments in Bohr magnetons follow the coordinates.
Atoms (fractional coordinates):
Cr 0.500 0.500 0.670  1.98
Si 0.000 0.000 0.589  -0.11
Hg 0.000 0.000 0.969  -0.01
Hg 0.500 0.500 0.272  -0.02

Values from the calculation:
Total moment = 1.88 μB per cell
E_form (uncorrected) = 7.3 kcal/mol of atoms

***

5.
Computed, not measured: a geometry-optimized CrSiHg2 structure at the PBE level of DFT.

a b c (Å): 5.153 5.153 5.007
angles (deg): 81.55 81.55 36.47
Site moments in Bohr magnetons follow the coordinates.
Atoms (fractional coordinates):
Hg 0.994 0.994 0.004  0.00
Si 0.750 0.750 0.750  -0.05
Hg 0.506 0.506 0.496  0.00
Cr 0.250 0.250 0.250  3.65

Values from the calculation:
Total moment = 3.95 μB per cell
E_form (uncorrected) = 11.6 kcal/mol of atoms

***

6.
Computed, not measured: a geometry-optimized CrSiHg3 structure at the PBE level of DFT.

a b c (Å): 5.120 5.120 5.120
angles (deg): 90.00 90.00 90.00
Site moments in Bohr magnetons follow the coordinates.
Atoms (fractional coordinates):
Si 0.000 0.000 0.000  0.01
Hg 0.500 0.000 0.000  0.03
Hg 0.000 0.500 0.000  0.01
Cr 0.500 0.500 0.500  4.27
Hg 0.000 0.000 0.500  0.00

Values from the calculation:
Relative energy among the computed polymorphs = 0 meV per atom
Total moment = 5.15 μB per cell
E_form (uncorrected) = 16.8 kcal/mol of atoms

***

7.
Computed, not measured: a geometry-optimized CrSiHg2 structure at the PBE level of DFT.

a b c (Å): 3.588 3.826 5.645
angles (deg): 90.00 90.00 90.00
Site moments in Bohr magnetons follow the coordinates.
Atoms (fractional coordinates):
Hg 0.000 0.000 0.999  -0.01
Hg 0.000 0.000 0.501  -0.01
Cr 0.500 0.500 0.750  3.60
Si 0.500 0.500 0.250  -0.08

Values from the calculation:
Total moment = 3.79 μB per cell
E_form (uncorrected) = 11.7 kcal/mol of atoms

***

8.
Computed, not measured: a geometry-optimized Cr3SiHg structure at the PBE level of DFT.

a b c (Å): 5.068 5.068 5.068
angles (deg): 90.00 90.00 90.00
Site moments in Bohr magnetons follow the coordinates.
Atoms (fractional coordinates):
Si 0.500 0.500 0.500  -0.14
Hg 0.000 0.000 0.000  0.17
Cr 0.000 0.500 0.000  3.91
Cr 0.000 0.000 0.500  4.01
Cr 0.500 0.000 0.000  3.77

Values from the calculation:
Relative energy among the computed polymorphs = 889 meV per atom
Total moment = 12.84 μB per cell
E_form (uncorrected) = 39.5 kcal/mol of atoms

***

9.
Computed, not measured: a geometry-optimized CrSiHg2 structure at the PBE level of DFT.

a b c (Å): 4.585 4.585 8.470
angles (deg): 61.02 61.02 37.32
Site moments in Bohr magnetons follow the coordinates.
Atoms (fractional coordinates):
Cr 0.283 0.283 0.375  2.50
Si 0.558 0.558 0.375  -0.07
Hg 0.670 0.670 0.695  -0.01
Hg 0.989 0.989 0.055  -0.01

Values from the calculation:
Total moment = 2.59 μB per cell
E_form (uncorrected) = 8.5 kcal/mol of atoms

***

10.
Computed, not measured: a geometry-optimized CrSiHg structure at the PBE level of DFT.

a b c (Å): 2.986 2.986 6.635
angles (deg): 90.00 90.00 120.00
Site moments in Bohr magnetons follow the coordinates.
Atoms (fractional coordinates):
Si 0.667 0.333 0.704  -0.02
Hg 0.333 0.667 0.323  0.02
Cr 0.000 0.000 0.973  2.44

Values from the calculation:
Relative energy among the computed polymorphs = 102 meV per atom
Total moment = 2.65 μB per cell
E_form (uncorrected) = 11.0 kcal/mol of atoms

***

11.
Computed, not measured: a geometry-optimized CrSi3Hg structure at the PBE level of DFT.

a b c (Å): 4.555 4.555 4.555
angles (deg): 90.00 90.00 90.00
Atoms (fractional coordinates):
Si 0.500 0.000 0.000
Cr 0.000 0.000 0.000
Hg 0.500 0.500 0.500
Si 0.000 0.000 0.500
Si 0.000 0.500 0.000

Values from the calculation:
Relative energy among the computed polymorphs = 0 meV per atom
Total moment = 0.00 μB per cell
E_form (uncorrected) = 7.3 kcal/mol of atoms

***

12.
Computed, not measured: a geometry-optimized CrSiHg4 structure at the PBE level of DFT.

a b c (Å): 5.810 5.810 5.810
angles (deg): 60.00 60.00 60.00
Site moments in Bohr magnetons follow the coordinates.
Atoms (fractional coordinates):
Hg 0.875 0.375 0.375  -0.01
Hg 0.375 0.375 0.375  -0.01
Si 0.750 0.750 0.750  -0.04
Hg 0.375 0.375 0.875  -0.01
Cr 0.000 0.000 0.000  4.02
Hg 0.375 0.875 0.375  -0.01

Values from the calculation:
Total moment = 4.42 μB per cell
E_form (uncorrected) = 15.5 kcal/mol of atoms

***

13.
Computed, not measured: a geometry-optimized CrSiHg structure at the PBE level of DFT.

a b c (Å): 4.116 4.116 3.626
angles (deg): 90.00 90.00 120.00
Site moments in Bohr magnetons follow the coordinates.
Atoms (fractional coordinates):
Hg 0.333 0.667 0.347  -0.04
Cr 0.000 0.000 0.909  2.74
Si 0.667 0.333 0.744  -0.11

Values from the calculation:
Relative energy among the computed polymorphs = 119 meV per atom
Total moment = 2.73 μB per cell
E_form (uncorrected) = 11.4 kcal/mol of atoms

***

14.
Computed, not measured: a geometry-optimized CrSiHg2 structure at the PBE level of DFT.

a b c (Å): 4.816 4.816 4.816
angles (deg): 60.00 60.00 60.00
Site moments in Bohr magnetons follow the coordinates.
Atoms (fractional coordinates):
Hg 0.000 0.000 0.000  0.02
Hg 0.250 0.250 0.250  0.01
Cr 0.500 0.500 0.500  3.71
Si 0.750 0.750 0.750  -0.04

Values from the calculation:
Total moment = 4.12 μB per cell
E_form (uncorrected) = 13.2 kcal/mol of atoms

***

15.
Computed, not measured: a geometry-optimized Cr4SiHg structure at the PBE level of DFT.

a b c (Å): 4.864 4.864 4.864
angles (deg): 60.00 60.00 60.00
Atoms (fractional coordinates):
Cr 0.376 0.873 0.376
Cr 0.376 0.376 0.873
Cr 0.376 0.376 0.376
Cr 0.873 0.376 0.376
Si 0.000 0.000 0.000
Hg 0.750 0.750 0.750

Values from the calculation:
Total moment = 0.00 μB per cell
E_form (uncorrected) = 11.7 kcal/mol of atoms

***

16.
Computed, not measured: a geometry-optimized CrSiHg2 structure at the PBE level of DFT.

a b c (Å): 5.027 5.027 3.322
angles (deg): 90.00 90.00 112.57
Site moments in Bohr magnetons follow the coordinates.
Atoms (fractional coordinates):
Hg 0.000 0.000 0.000  -0.02
Hg 0.500 0.500 0.000  -0.02
Si 0.500 0.000 0.500  -0.05
Cr 0.000 0.500 0.500  3.46

Values from the calculation:
Total moment = 3.62 μB per cell
E_form (uncorrected) = 12.4 kcal/mol of atoms

***

17.
Computed, not measured: a geometry-optimized CrSiHg structure at the PBE level of DFT.

a b c (Å): 5.540 5.540 5.540
angles (deg): 146.94 146.95 47.45
Site moments in Bohr magnetons follow the coordinates.
Atoms (fractional coordinates):
Si 0.623 0.623 0.000  -0.07
Cr 0.041 0.041 0.000  1.72
Hg 0.337 0.337 0.000  -0.01

Values from the calculation:
Relative energy among the computed polymorphs = 0 meV per atom
Total moment = 1.73 μB per cell
E_form (uncorrected) = 8.6 kcal/mol of atoms

***

18.
Computed, not measured: a geometry-optimized CrSiHg2 structure at the PBE level of DFT.

a b c (Å): 4.448 4.134 4.134
angles (deg): 90.00 90.00 90.00
Site moments in Bohr magnetons follow the coordinates.
Atoms (fractional coordinates):
Cr 0.500 0.000 0.500  3.48
Hg 0.000 0.000 0.000  -0.03
Hg 0.000 0.500 0.500  -0.03
Si 0.500 0.500 0.000  -0.08

Values from the calculation:
Total moment = 3.53 μB per cell
E_form (uncorrected) = 11.7 kcal/mol of atoms

***

19.
Computed, not measured: a geometry-optimized CrSiHg2 structure at the PBE level of DFT.

a b c (Å): 5.317 5.317 5.317
angles (deg): 134.24 134.24 66.71
Site moments in Bohr magnetons follow the coordinates.
Atoms (fractional coordinates):
Cr 0.750 0.250 0.500  3.48
Hg 0.500 0.500 0.000  -0.03
Si 0.250 0.750 0.500  -0.10
Hg 0.000 0.000 0.000  -0.03

Values from the calculation:
Total moment = 3.52 μB per cell
E_form (uncorrected) = 11.4 kcal/mol of atoms

***

20.
Computed, not measured: a geometry-optimized CrSiHg2 structure at the PBE level of DFT.

a b c (Å): 6.372 6.372 6.372
angles (deg): 152.76 136.16 52.39
Site moments in Bohr magnetons follow the coordinates.
Atoms (fractional coordinates):
Si 0.433 0.433 0.000  -0.05
Hg 0.047 0.047 0.000  -0.02
Hg 0.759 0.259 0.500  -0.01
Cr 0.261 0.761 0.500  2.97

Values from the calculation:
Total moment = 3.06 μB per cell
E_form (uncorrected) = 10.1 kcal/mol of atoms

***

21.
Computed, not measured: a geometry-optimized CrSiHg2 structure at the PBE level of DFT.

a b c (Å): 3.918 2.889 7.364
angles (deg): 89.72 90.00 90.00
Site moments in Bohr magnetons follow the coordinates.
Atoms (fractional coordinates):
Si 0.000 0.372 0.637  -0.12
Hg 0.000 0.877 0.983  0.00
Cr 0.500 0.873 0.608  2.60
Hg 0.500 0.379 0.272  -0.01

Values from the calculation:
Total moment = 2.61 μB per cell
E_form (uncorrected) = 6.5 kcal/mol of atoms

***

22.
Computed, not measured: a geometry-optimized CrSiHg2 structure at the PBE level of DFT.

a b c (Å): 5.184 3.236 4.798
angles (deg): 93.53 90.00 90.00
Site moments in Bohr magnetons follow the coordinates.
Atoms (fractional coordinates):
Hg 0.000 0.494 0.501  0.01
Cr 0.500 0.750 0.750  3.61
Hg 0.000 0.006 0.999  0.01
Si 0.500 0.250 0.250  -0.10

Values from the calculation:
Total moment = 3.83 μB per cell
E_form (uncorrected) = 11.6 kcal/mol of atoms

***

23.
Computed, not measured: a geometry-optimized CrSiHg2 structure at the PBE level of DFT.

a b c (Å): 9.241 9.241 9.241
angles (deg): 19.09 19.09 19.09
Site moments in Bohr magnetons follow the coordinates.
Atoms (fractional coordinates):
Si 0.484 0.484 0.484  -0.01
Hg 0.012 0.012 0.012  0.00
Hg 0.242 0.242 0.242  0.00
Cr 0.761 0.761 0.761  0.15

Values from the calculation:
Total moment = 0.14 μB per cell
E_form (uncorrected) = 10.3 kcal/mol of atoms

***

24.
Computed, not measured: a geometry-optimized CrSiHg2 structure at the PBE level of DFT.

a b c (Å): 3.149 3.149 7.976
angles (deg): 90.00 90.00 90.01
Site moments in Bohr magnetons follow the coordinates.
Atoms (fractional coordinates):
Hg 0.000 0.000 0.990  -0.01
Cr 0.500 0.500 0.750  3.71
Hg 0.000 0.000 0.510  -0.01
Si 0.500 0.500 0.250  -0.02

Values from the calculation:
Total moment = 4.02 μB per cell
E_form (uncorrected) = 12.9 kcal/mol of atoms

***

25.
Computed, not measured: a geometry-optimized Cr3SiHg structure at the PBE level of DFT.

a b c (Å): 4.475 4.475 4.475
angles (deg): 90.00 90.00 90.00
Site moments in Bohr magnetons follow the coordinates.
Atoms (fractional coordinates):
Cr 0.500 0.000 0.000  2.42
Cr 0.000 0.500 0.000  2.56
Hg 0.500 0.500 0.500  -0.05
Cr 0.000 0.000 0.500  2.78
Si 0.000 0.000 0.000  -0.13

Values from the calculation:
Relative energy among the computed polymorphs = 0 meV per atom
Total moment = 8.05 μB per cell
E_form (uncorrected) = 19.0 kcal/mol of atoms

***

26.
Computed, not measured: a geometry-optimized CrSiHg structure at the PBE level of DFT.

a b c (Å): 4.342 4.342 4.342
angles (deg): 60.00 60.00 60.00
Site moments in Bohr magnetons follow the coordinates.
Atoms (fractional coordinates):
Hg 0.500 0.500 0.500  0.01
Si 0.750 0.750 0.750  -0.09
Cr 0.000 0.000 0.000  3.60

Values from the calculation:
Relative energy among the computed polymorphs = 60 meV per atom
Total moment = 3.94 μB per cell
E_form (uncorrected) = 10.0 kcal/mol of atoms

***

27.
Computed, not measured: a geometry-optimized VCrSiHg2 structure at the PBE level of DFT.

a b c (Å): 5.220 4.170 5.220
angles (deg): 90.00 90.00 90.00
Site moments in Bohr magnetons follow the coordinates.
Atoms (fractional coordinates):
V 0.000 0.000 0.000  -1.15
Si 0.500 0.500 0.500  0.04
Hg 0.500 0.000 0.000  -0.02
Hg 0.000 0.000 0.500  -0.02
Cr 0.000 0.500 0.000  2.40

Values from the calculation:
Total moment = 1.49 μB per cell
E_form (uncorrected) = 26.8 kcal/mol of atoms

***

28.
Computed, not measured: a geometry-optimized CrSnHg2 structure at the PBE level of DFT.

a b c (Å): 8.088 8.088 6.435
angles (deg): 51.06 51.06 90.00
Site moments in Bohr magnetons follow the coordinates.
Atoms (fractional coordinates):
Hg 0.875 0.852 0.750  -0.01
Hg 0.375 0.398 0.750  0.00
Hg 0.148 0.625 0.250  -0.01
Hg 0.602 0.125 0.250  0.00
Cr 0.500 0.500 0.000  3.69
Cr 0.250 0.750 0.500  3.70
Sn 0.000 0.000 0.000  -0.08
Sn 0.750 0.250 0.500  -0.08

Values from the calculation:
ΔE_f = 0.402 eV/atom
Total moment = 7.82 μB per cell

***

29.
Computed, not measured: a geometry-optimized Cr2SnHg structure at the PBE level of DFT.

a b c (Å): 7.492 7.492 6.117
angles (deg): 52.24 52.24 90.00
Site moments in Bohr magnetons follow the coordinates.
Atoms (fractional coordinates):
Sn 0.500 0.500 0.000  -0.17
Cr 0.623 0.125 0.250  3.59
Sn 0.250 0.750 0.500  -0.17
Hg 0.000 0.000 0.000  0.00
Hg 0.750 0.250 0.500  0.00
Cr 0.875 0.873 0.750  3.56
Cr 0.127 0.625 0.250  3.58
Cr 0.375 0.377 0.750  3.58

Values from the calculation:
ΔE_f = 0.715 eV/atom
Total moment = 15.25 μB per cell

***

| no. | theoretical density (Mg/m³) |
| --- | --- |
| 1 | 6.15 |
| 2 | 9.49 |
| 3 | 8.73 |
| 4 | 10.41 |
| 5 | 10.23 |
| 6 | 8.44 |
| 7 | 10.31 |
| 8 | 4.91 |
| 9 | 8.61 |
| 10 | 9.10 |
| 11 | 5.92 |
| 12 | 10.57 |
| 13 | 8.76 |
| 14 | 10.12 |
| 15 | 8.91 |
| 16 | 10.31 |
| 17 | 9.25 |
| 18 | 10.51 |
| 19 | 10.53 |
| 20 | 9.79 |
| 21 | 9.59 |
| 22 | 9.95 |
| 23 | 10.83 |
| 24 | 10.10 |
| 25 | 7.13 |
| 26 | 8.05 |
| 27 | 7.78 |
| 28 | 9.85 |
| 29 | 8.19 |